Entry 1:
Crystalline SrCu2GePt at its relaxed geometry, computed with GGA-PBEsol.

The space group is P4/mmm (No. 123) and the conventional cell measures 4.734, 4.734 and 5.398 Å, with angles of 90.00, 90.00 and 90.00 degrees. Symmetry generates all atoms from Sr at (0.000, 0.000, 0.000), Cu at (0.000, 0.500, 0.500), Ge at (0.500, 0.500, 0.000) and Pt at (0.000, 0.000, 0.500).

The value obtained for the density of states at the Fermi level is 4.2 states/eV/cell. As for the formation energy from the elements: 259 kJ/mol of formula units. The total energy comes out at -19.7 eV for the cell shown.



Entry 2:
Crystalline SrCuRe2Ge at its relaxed geometry, computed with GGA-PBEsol.

The space group is P4/mmm (No. 123) and the conventional cell measures 4.564, 4.564 and 5.413 Å, with angles of 90.00, 90.00 and 90.00 degrees. Symmetry generates all atoms from Sr at (0.000, 0.000, 0.000), Cu at (0.500, 0.500, 0.000), Re at (0.000, 0.500, 0.500) and Ge at (0.000, 0.000, 0.500).

The value obtained for the density of states at the Fermi level is 4.9 states/eV/cell. As for the formation energy from the elements: 770 kJ/mol of formula units. The total energy comes out at -29.8 eV for the cell shown.



Entry 3:
Crystalline CuGe2Rh at its relaxed geometry, computed with GGA-PBEsol.

The space group is Fm-3m (No. 225) and the conventional cell measures 6.076, 6.076 and 6.076 Å, with angles of 90.00, 90.00 and 90.00 degrees. Symmetry generates all atoms from Cu at (0.000, 0.000, 0.000), Ge at (0.250, 0.250, 0.250) and Rh at (0.000, 0.000, 0.500).

The value obtained for the density of states at the Fermi level is 7.2 states/eV/cell. As for the formation energy from the elements: -25 kJ/mol of formula units. The total energy comes out at -90.4 eV for the cell shown.